1.
Entry from the Alexandria database: a geometry-optimized Na4Ge2Se5 structure (GGA-PBE).

Calculated values
Raw formation energy in eV/atom: -0.813
Magnetic moment in μB/cell: 0.000
Density of states at the Fermi level in states/eV per cell: 0.00
Space group: P-1 (2)

abc: 7.144 8.220 10.802
angles: 73.42 70.94 81.94
Fractional coordinates of all 22 atoms:
Se 0.837 0.253 0.572
Se 0.259 0.246 0.744
Se 0.741 0.754 0.256
Se 0.941 0.754 0.845
Se 0.163 0.747 0.428
Se 0.357 0.745 0.052
Se 0.465 0.253 0.327
Se 0.535 0.747 0.673
Se 0.643 0.255 0.948
Se 0.059 0.246 0.155
Na 0.907 0.522 0.686
Na 0.000 0.000 0.000
Na 0.500 0.500 0.500
Na 0.797 0.000 0.407
Na 0.727 0.511 0.104
Na 0.203 0.000 0.593
Na 0.093 0.478 0.314
Na 0.273 0.489 0.896
Ge 0.574 0.156 0.770
Ge 0.382 0.157 0.167
Ge 0.618 0.843 0.833
Ge 0.426 0.844 0.230

2.
Entry from the Alexandria database: a geometry-optimized SrY2Ir structure (GGA-PBE).

Calculated values
Magnetic moment in μB/cell: 0.000
Calculated formation energy in eV per atom: -0.400
Density of states at the Fermi level in states/eV per cell: 4.24
Energy relative to the lowest polymorph listed for this composition in kJ/mol of atoms: 0.0
Space group: R3m (160)

abc: 4.180 4.180 9.551
angles: 77.36 77.36 60.00
Fractional coordinates of all 4 atoms:
Ir 0.666 0.666 0.001
Sr 0.501 0.501 0.496
Y 0.283 0.283 0.150
Y 0.049 0.049 0.853